DFT (GGA-PBE) results for a geometry-optimized CaHoCu10 structure.

- DOS(E_F) (states/eV/cell) = 6.68
- ΔE_f (meV per atom) = -158

Lattice parameters (Å, degrees): 4.0472 5.1032 8.7637 90.00 90.00 90.00
Last column: nearest neighbours and their distance in Å.
Atoms (fractional coordinates):
1 Ca 0.0000 0.0000 0.0000  18 Cu 2.94-3.28
2 Ho 0.0000 0.5000 0.5000  14 Cu 2.90-3.20
3 Cu 0.0000 0.0000 0.3355  6 Cu 2.48-2.50
4 Cu 0.0000 0.5000 0.8314  6 Cu 2.50-2.51
5 Cu 0.0000 0.5000 0.1686  6 Cu 2.50-2.51
6 Cu 0.0000 0.0000 0.6645  6 Cu 2.48-2.50
7 Cu 0.5000 0.0000 0.5000  8 Cu 2.48-2.50
8 Cu 0.5000 0.5000 0.0000  8 Cu 2.51-2.57
9 Cu 0.5000 0.2539 0.2554  8 Cu 2.50-2.59
10 Cu 0.5000 0.7461 0.7446  8 Cu 2.50-2.59
11 Cu 0.5000 0.7461 0.2554  8 Cu 2.50-2.59
12 Cu 0.5000 0.2539 0.7446  8 Cu 2.50-2.59

=====

DFT (GGA-PBE) results for a geometry-optimized Ta5Nb5Rh2 structure.

- DOS(E_F) (states/eV/cell) = 8.45
- ΔE_f (meV per atom) = -192

Lattice parameters (Å, degrees): 4.6311 7.3044 7.3291 101.39 71.58 71.52
Last column: nearest neighbours and their distance in Å.
Atoms (fractional coordinates):
1 Ta 0.0000 0.5000 0.5000  6 Nb 2.82-2.84, 2 Ta 2.86
2 Ta 0.6657 0.7485 0.9200  3 Rh 2.82-2.83, 2 Nb 2.84, 3 Ta 2.85-2.86
3 Ta 0.3294 0.0047 0.3365  6 Nb 2.81-2.88, 2 Ta 2.85
4 Ta 0.6706 0.9953 0.6635  6 Nb 2.81-2.88, 2 Ta 2.85
5 Ta 0.3343 0.2515 0.0800  3 Rh 2.82-2.83, 2 Nb 2.84, 3 Ta 2.85-2.86
6 Nb 0.6696 0.2478 0.4130  2 Rh 2.81-2.84, 5 Ta 2.81-2.85, 1 Nb 2.82
7 Nb 0.9934 0.2572 0.7560  3 Rh 2.80-2.82, 4 Ta 2.82-2.88, 1 Nb 2.84
8 Nb 0.0066 0.7428 0.2440  3 Rh 2.80-2.82, 4 Ta 2.82-2.88, 1 Nb 2.84
9 Nb 0.3304 0.7522 0.5870  2 Rh 2.81-2.84, 5 Ta 2.81-2.85, 1 Nb 2.82
10 Nb 0.0000 0.0000 0.0000  4 Nb 2.82-2.84, 4 Ta 2.84
11 Rh 0.3358 0.4991 0.8293  5 Nb 2.80-2.84, 3 Ta 2.82-2.83
12 Rh 0.6642 0.5009 0.1707  5 Nb 2.80-2.84, 3 Ta 2.82-2.83

=====

DFT (GGA-PBE) results for a geometry-optimized PrGdTlGa structure.

- DOS(E_F) (states/eV/cell) = 3.25
- ΔE_f (meV per atom) = -437

Lattice parameters (Å, degrees): 5.3566 5.3566 5.3566 60.00 60.00 60.00
Last column: nearest neighbours and their distance in Å.
Atoms (fractional coordinates):
1 Pr 0.0000 0.0000 0.0000  4 Ga 3.28, 4 Tl 3.28
2 Tl 0.7500 0.7500 0.7500  4 Pr 3.28, 4 Gd 3.28
3 Gd 0.5000 0.5000 0.5000  4 Tl 3.28, 4 Ga 3.28
4 Ga 0.2500 0.2500 0.2500  4 Gd 3.28, 4 Pr 3.28

=====

DFT (GGA-PBE) results for a geometry-optimized Be2SbOs structure.

- DOS(E_F) (states/eV/cell) = 1.30
- uncorrected energy (eV per atom) = -5.4369

Lattice parameters (Å, degrees): 3.8641 3.1189 5.0609 72.05 90.00 90.00
Last column: nearest neighbours and their distance in Å.
Atoms (fractional coordinates):
1 Sb 0.5000 0.7050 0.7149  1 Be 2.41
2 Os 0.0000 0.3262 0.4720  4 Be 2.29-2.39
3 Be 0.0000 0.0143 0.0967  2 Os 2.39, 4 Be 2.55
4 Be 0.5000 0.4544 0.2164  2 Os 2.29, 1 Sb 2.41, 4 Be 2.55

=====

DFT (GGA-PBE) results for a geometry-optimized AgH2Au2 structure.

- DOS(E_F) (states/eV/cell) = 1.41
- energy above the most stable polymorph in this dataset (eV/atom) = 0.154

Lattice parameters (Å, degrees): 7.3441 7.3441 2.7840 90.00 90.00 90.00
Last column: nearest neighbours and their distance in Å.
Atoms (fractional coordinates):
1 H 0.2585 0.7585 0.5000  2 Au 1.76
2 H 0.7585 0.7415 0.5000  2 Au 1.76
3 H 0.7415 0.2415 0.5000  2 Au 1.76
4 H 0.2415 0.2585 0.5000  2 Au 1.76
5 Au 0.3618 0.8618 0.0000  2 H 1.76
6 Au 0.8618 0.6382 0.0000  2 H 1.76
7 Au 0.6382 0.1382 0.0000  2 H 1.76
8 Au 0.1382 0.3618 0.0000  2 H 1.76
9 Ag 0.0000 0.0000 0.0000  2 Ag 2.78, 4 Au 2.84, 8 H 2.95
10 Ag 0.5000 0.5000 0.0000  2 Ag 2.78, 4 Au 2.84, 8 H 2.95

=====

DFT (GGA-PBE) results for a geometry-optimized SnBiAsS structure.

- DOS(E_F) (states/eV/cell) = 0.69
- uncorrected energy (eV per atom) = -4.3380

Lattice parameters (Å, degrees): 4.1490 4.3884 5.9440 89.99 90.00 90.00
Last column: nearest neighbours and their distance in Å.
Atoms (fractional coordinates):
1 Sn 0.0000 0.9283 0.5923  2 S 2.75, 2 As 2.99
2 Bi 0.5000 0.4356 0.0925  2 As 2.79, 2 S 3.00
3 As 0.0000 0.8615 0.0923  2 Bi 2.79, 2 Sn 2.99
4 S 0.5000 0.3406 0.5926  2 Sn 2.75, 2 Bi 3.00